The following is a GGA-PBE calculation of an optimized crystal structure of FeCuRe4, from the Alexandria database.

Cell: 5.134 5.134 5.134 Å, 60.00 60.00 60.00°
Fractional positions:
Fe 0.000 0.000 0.000
Cu 0.250 0.250 0.250
Re 0.126 0.625 0.625
Re 0.625 0.126 0.625
Re 0.625 0.625 0.126
Re 0.625 0.625 0.625

Output
Symmetry: F-43m
Calculated total energy (eV for the cell shown): -58.34